# Rb3DySb2O6 PBE optimized geometry
data_Rb3DySb2O6
_cell_length_a 6.2106
_cell_length_b 6.2106
_cell_length_c 7.5595
_cell_angle_alpha 90.00
_cell_angle_beta 90.00
_cell_angle_gamma 120.00
_symmetry_space_group_name_H-M 'P -3 m 1'
_symmetry_Int_Tables_number 164
_symmetry_space_group_name_Hall '-P 3 2"'
loop_
_atom_site_label
_atom_site_fract_x
_atom_site_fract_y
_atom_site_fract_z
Rb1 0.0000 0.0000 0.0000
Rb2 0.3333 0.6667 0.6589
Dy1 0.0000 0.0000 0.5000
Sb1 0.3333 0.6667 0.1998
O1 0.1719 0.3438 0.3211
# - Electronic total energy: -69.23 eV per cell
# - ΔE_f (raw): -1977 meV per atom

---

# LiAlOs PBE optimized geometry
data_LiAlOs
_cell_length_a 2.704
_cell_length_b 2.704
_cell_length_c 12.369
_cell_angle_alpha 90.00
_cell_angle_beta 90.00
_cell_angle_gamma 90.00
_symmetry_space_group_name_H-M 'I 4 m m'
_symmetry_Int_Tables_number 107
_symmetry_space_group_name_Hall 'I 4 -2'
loop_
_atom_site_label
_atom_site_fract_x
_atom_site_fract_y
_atom_site_fract_z
Li1 0.000 0.000 0.000
Al1 0.000 0.000 0.315
Os1 0.000 0.000 0.668
# - Offset from the most stable computed form: 278 meV per atom
# - Electronic total energy: -33.10 eV per cell
# - ΔE_f: 112 meV per atom

---

Look up the electronic total energy of the first one. -69.23 eV per cell

---

Among the records above, which one has the highest electronic total energy? LiAlOs

---

Among the records above, which one has the highest electronic total energy? LiAlOs

---

electronic total energy of number 2 (LiAlOs)? -33.10 eV per cell